Material: Ta3Mn2Os
Method: DFT, PBE
State: relaxed

Computed properties:
* formation enthalpy at 0 K: -0.2707 eV per atom
* space-group type: P4/mmm, No. 123
* M_tot: 0.00 μB per formula unit

The structure in CIF format:
```
data_Ta3Mn2Os
_chemical_formula_sum 'Ta3 Mn2 Os1'
_symmetry_space_group_name_H-M 'P 1'
_symmetry_Int_Tables_number 1
_cell_length_a 3.0955
_cell_length_b 3.0955
_cell_length_c 9.3773
_cell_angle_alpha 90.00
_cell_angle_beta 90.00
_cell_angle_gamma 90.00
loop_
_symmetry_equiv_pos_as_xyz
'x,y,z'
loop_
_atom_site_label
_atom_site_fract_x
_atom_site_fract_y
_atom_site_fract_z
Mn1 0.5000 0.5000 0.1642
Ta1 0.0000 0.0000 0.0000
Ta2 0.0000 0.0000 0.6787
Mn2 0.5000 0.5000 0.8358
Ta3 0.0000 0.0000 0.3213
Os1 0.5000 0.5000 0.5000
```